Record 1
# Rb2BaPmI8, relaxed, DFT GGA-PBE
data_Rb2BaPmI8
_space_group_name_H-M_alt 'P -1'
_space_group_IT_number 2
_cell_length_a 7.774
_cell_length_b 8.396
_cell_length_c 10.019
_cell_angle_alpha 89.90
_cell_angle_beta 89.84
_cell_angle_gamma 89.86
loop_
_space_group_symop_operation_xyz
'x,y,z'
'-x,-y,-z'
loop_
_atom_site_label
_atom_site_type_symbol
_atom_site_fract_x
_atom_site_fract_y
_atom_site_fract_z
Rb1 Rb 0.001 0.000 0.232
Ba1 Ba 0.500 0.500 0.500
Pm1 Pm 0.500 0.500 0.000
I1 I 0.255 0.379 0.771
I2 I 0.255 0.380 0.230
I3 I 0.304 0.819 0.999
I4 I 0.326 0.892 0.500
# V (Å³/cell): 654
# M_tot (μB per formula unit): 0.976
# Formation energy from raw total energies (kJ/mol of atoms): -129.2

Record 2
# Cs3Li2UO6, relaxed, DFT GGA-PBE
data_Cs3Li2UO6
_space_group_name_H-M_alt 'C 1 2/m 1'
_space_group_IT_number 12
_cell_length_a 6.133
_cell_length_b 11.575
_cell_length_c 6.702
_cell_angle_alpha 90.00
_cell_angle_beta 102.08
_cell_angle_gamma 90.00
loop_
_space_group_symop_operation_xyz
'x,y,z'
'-x,-y,-z'
'-x,y,-z'
'x,-y,z'
'x+1/2,y+1/2,z'
'-x+1/2,-y+1/2,-z'
'-x+1/2,y+1/2,-z'
'x+1/2,-y+1/2,z'
loop_
_atom_site_label
_atom_site_type_symbol
_atom_site_fract_x
_atom_site_fract_y
_atom_site_fract_z
Cs1 Cs 0.000 0.000 0.000
Cs2 Cs 0.000 0.316 0.000
Li1 Li 0.000 0.232 0.500
U1 U 0.000 0.500 0.500
O1 O 0.144 0.500 0.259
O2 O 0.208 0.360 0.636
# V (Å³/cell): 465
# M_tot (μB per formula unit): 1.002
# Formation energy from raw total energies (kJ/mol of atoms): -189.3

Record 3
# LiTiCo2Br, relaxed, DFT GGA-PBE
data_LiTiCo2Br
_space_group_name_H-M_alt 'P 4/m m m'
_space_group_IT_number 123
_space_group_name_Hall '-P 4 2'
_cell_length_a 4.325
_cell_length_b 4.325
_cell_length_c 5.266
_cell_angle_alpha 90.00
_cell_angle_beta 90.00
_cell_angle_gamma 90.00
loop_
_atom_site_label
_atom_site_type_symbol
_atom_site_fract_x
_atom_site_fract_y
_atom_site_fract_z
Li1 Li 0.000 0.000 0.000
Ti1 Ti 0.500 0.500 0.500
Co1 Co 0.000 0.500 0.500
Br1 Br 0.500 0.500 0.000
# V (Å³/cell): 99
# M_tot (μB per formula unit): 0.752
# Formation energy from raw total energies (kJ/mol of atoms): 55.4

Record 4
# Er2HfTl, relaxed, DFT GGA-PBE
data_Er2HfTl
_space_group_name_H-M_alt 'P 4/m m m'
_space_group_IT_number 123
_space_group_name_Hall '-P 4 2'
_cell_length_a 4.678
_cell_length_b 4.678
_cell_length_c 4.643
_cell_angle_alpha 90.00
_cell_angle_beta 90.00
_cell_angle_gamma 90.00
loop_
_atom_site_label
_atom_site_type_symbol
_atom_site_fract_x
_atom_site_fract_y
_atom_site_fract_z
Er1 Er 0.000 0.500 0.000
Hf1 Hf 0.000 0.000 0.500
Tl1 Tl 0.500 0.500 0.500
# V (Å³/cell): 102
# Calculated formation energy (eV/f.u.): -0.1
# M_tot (μB per formula unit): 0.001
# Energy above the lowest structure with this stoichiometry (meV per atom): 79

Record 5
# Sr3ScI, relaxed, DFT GGA-PBE
data_Sr3ScI
_space_group_name_H-M_alt 'P m -3 m'
_space_group_IT_number 221
_space_group_name_Hall '-P 4 2 3'
_cell_length_a 6.251
_cell_length_b 6.251
_cell_length_c 6.251
_cell_angle_alpha 90.00
_cell_angle_beta 90.00
_cell_angle_gamma 90.00
loop_
_atom_site_label
_atom_site_type_symbol
_atom_site_fract_x
_atom_site_fract_y
_atom_site_fract_z
Sr1 Sr 0.000 0.000 0.500
Sc1 Sc 0.500 0.500 0.500
I1 I 0.000 0.000 0.000
# V (Å³/cell): 244
# M_tot (μB per formula unit): 3.731
# Formation energy from raw total energies (kJ/mol of atoms): 10.4
# Energy above the lowest structure with this stoichiometry (meV per atom): 0

Record 6
# KVHg, relaxed, DFT GGA-PBE
data_KVHg
_space_group_name_H-M_alt 'P n m a'
_space_group_IT_number 62
_cell_length_a 12.671
_cell_length_b 5.902
_cell_length_c 4.936
_cell_angle_alpha 90.00
_cell_angle_beta 90.00
_cell_angle_gamma 90.00
loop_
_space_group_symop_operation_xyz
'x,y,z'
'-x,-y,-z'
'-x+1/2,-y,z+1/2'
'x+1/2,y,-z+1/2'
'x+1/2,-y+1/2,-z+1/2'
'-x+1/2,y+1/2,z+1/2'
'-x,y+1/2,-z'
'x,-y+1/2,z'
loop_
_atom_site_label
_atom_site_type_symbol
_atom_site_fract_x
_atom_site_fract_y
_atom_site_fract_z
K1 K 0.250 0.250 0.247
V1 V 0.000 0.250 0.506
Hg1 Hg 0.000 0.000 0.000
# V (Å³/cell): 369
# Calculated formation energy (eV/f.u.): 1.6
# M_tot (μB per formula unit): 3.611
# Energy above the lowest structure with this stoichiometry (meV per atom): 221

Record 7
# CaTa3, relaxed, DFT GGA-PBE
data_CaTa3
_space_group_name_H-M_alt 'I m m 2'
_space_group_IT_number 44
_cell_length_a 2.746
_cell_length_b 10.308
_cell_length_c 5.762
_cell_angle_alpha 90.00
_cell_angle_beta 90.00
_cell_angle_gamma 90.00
loop_
_space_group_symop_operation_xyz
'x,y,z'
'-x,-y,z'
'-x,y,z'
'x,-y,z'
'x+1/2,y+1/2,z+1/2'
'-x+1/2,-y+1/2,z+1/2'
'-x+1/2,y+1/2,z+1/2'
'x+1/2,-y+1/2,z+1/2'
loop_
_atom_site_label
_atom_site_type_symbol
_atom_site_fract_x
_atom_site_fract_y
_atom_site_fract_z
Ca1 Ca 0.000 0.000 0.000
Ta1 Ta 0.000 0.244 0.726
Ta2 Ta 0.000 0.500 0.998
# V (Å³/cell): 163
# Calculated formation energy (eV/f.u.): 2.6
# M_tot (μB per formula unit): 0.000

Record 8
# Cu2TcI, relaxed, DFT GGA-PBE
data_Cu2TcI
_space_group_name_H-M_alt 'P -1'
_space_group_IT_number 2
_cell_length_a 3.711
_cell_length_b 4.158
_cell_length_c 11.278
_cell_angle_alpha 100.34
_cell_angle_beta 90.74
_cell_angle_gamma 90.01
loop_
_space_group_symop_operation_xyz
'x,y,z'
'-x,-y,-z'
loop_
_atom_site_label
_atom_site_type_symbol
_atom_site_fract_x
_atom_site_fract_y
_atom_site_fract_z
Cu1 Cu 0.241 0.394 0.281
Cu2 Cu 0.253 0.535 0.572
Tc1 Tc 0.247 0.965 0.428
I1 I 0.237 0.830 0.149
# V (Å³/cell): 171
# M_tot (μB per formula unit): 0.000
# Formation energy from raw total energies (kJ/mol of atoms): 18.8
# Energy above the lowest structure with this stoichiometry (meV per atom): 0